! YPdPb2 | Alexandria | PBE | relaxed; values from VASP
&SYSTEM
  ibrav = 0, nat = 8, ntyp = 3
/
ATOMIC_SPECIES
Y 88.91 Y.upf
Pd 106.42 Pd.upf
Pb 207.20 Pb.upf
CELL_PARAMETERS angstrom
4.643 0.000 -1.288
-0.357 4.629 -1.288
0.062 0.067 9.237
ATOMIC_POSITIONS angstrom
Y 0.618 0.668 2.229
Y 3.729 4.028 4.433
Pd 0.924 3.505 3.331
Pd 3.424 1.191 3.331
Pb -0.179 2.315 -0.644
Pb 2.321 0.000 -0.644
Pb 1.523 1.645 5.492
Pb 2.824 3.051 1.170
! **D(E_F)**: 2.17 states/eV/f.u.
! **Space-group type**: No. 139
! **Polymorph energy (0 for the lowest one)**: 0.0 meV/atom



! Y2Pd4Pb | Alexandria | PBE | relaxed; values from VASP
&SYSTEM
  ibrav = 0, nat = 7, ntyp = 3
/
ATOMIC_SPECIES
Y 88.91 Y.upf
Pd 106.42 Pd.upf
Pb 207.20 Pb.upf
CELL_PARAMETERS angstrom
5.007 0.000 0.000
0.000 5.007 0.000
-2.503 -2.503 7.223
ATOMIC_POSITIONS angstrom
Y 2.503 2.503 1.878
Y 0.000 0.000 5.346
Pd 2.503 2.503 4.483
Pd 0.000 0.000 2.740
Pd 0.000 2.503 0.000
Pd 2.503 0.000 0.000
Pb 0.000 0.000 0.000
! **D(E_F)**: 3.12 states/eV/f.u.
! **Space-group type**: No. 139



! YPd6Pb | Alexandria | PBE | relaxed; values from VASP
&SYSTEM
  ibrav = 0, nat = 8, ntyp = 3
/
ATOMIC_SPECIES
Y 88.91 Y.upf
Pd 106.42 Pd.upf
Pb 207.20 Pb.upf
CELL_PARAMETERS angstrom
5.457 0.505 0.571
-0.094 5.479 0.571
-0.094 -0.105 5.508
ATOMIC_POSITIONS angstrom
Y 0.000 0.000 0.000
Pd 0.813 2.981 1.283
Pd 0.813 0.908 3.116
Pd 4.455 2.898 5.368
Pd 2.395 4.745 5.368
Pd 4.455 4.972 3.535
Pd 2.874 1.134 1.283
Pb 2.634 2.940 3.325
! **D(E_F)**: 5.10 states/eV/f.u.
! **Space-group type**: No. 166
! **Polymorph energy (0 for the lowest one)**: 464.5 meV/atom



! Zn2Pd2Pb | Alexandria | PBE | relaxed; values from VASP
&SYSTEM
  ibrav = 0, nat = 5, ntyp = 3
/
ATOMIC_SPECIES
Pb 207.20 Pb.upf
Zn 65.41 Zn.upf
Pd 106.42 Pd.upf
CELL_PARAMETERS angstrom
-3.846 -0.595 1.425
1.544 -1.479 3.550
-1.152 4.063 4.613
ATOMIC_POSITIONS angstrom
Pb 0.000 0.000 0.000
Zn -1.151 0.142 2.979
Zn -2.303 1.847 6.610
Pd -3.074 1.216 4.263
Pd -0.379 0.773 5.326
! **D(E_F)**: 2.00 states/eV/f.u.
! **Space-group type**: No. 139



! ZnPd14Pb | Alexandria | PBE | relaxed; values from VASP
&SYSTEM
  ibrav = 0, nat = 16, ntyp = 3
/
ATOMIC_SPECIES
Zn 65.41 Zn.upf
Pd 106.42 Pd.upf
Pb 207.20 Pb.upf
CELL_PARAMETERS angstrom
5.695 -0.012 0.000
0.012 5.695 0.000
0.000 0.000 7.766
ATOMIC_POSITIONS angstrom
Zn 2.140 2.131 3.883
Pd 4.994 4.973 0.000
Pd 2.140 2.131 0.000
Pd 4.988 2.125 3.883
Pd 4.988 2.125 0.000
Pd 2.146 4.979 3.883
Pd 2.146 4.979 0.000
Pd 3.537 0.728 1.938
Pd 3.537 0.728 5.828
Pd 0.743 3.534 1.938
Pd 0.743 3.534 5.828
Pd 3.543 3.528 1.938
Pd 3.543 3.528 5.828
Pd 0.738 0.734 1.938
Pd 0.738 0.734 5.828
Pb 4.994 4.972 3.883
! **D(E_F)**: 30.48 states/eV/f.u.
! **Space-group type**: No. 123



! ZnPd2Pb | Alexandria | PBE | relaxed; values from VASP
&SYSTEM
  ibrav = 0, nat = 4, ntyp = 3
/
ATOMIC_SPECIES
Pb 207.20 Pb.upf
Zn 65.41 Zn.upf
Pd 106.42 Pd.upf
CELL_PARAMETERS angstrom
1.375 -4.425 -0.102
-2.724 -3.230 -1.906
1.199 -1.962 -4.025
ATOMIC_POSITIONS angstrom
Pb -0.075 -4.809 -3.017
Zn 0.000 0.000 0.000
Pd -0.037 -2.404 -1.508
Pd -0.112 -7.213 -4.525
! **D(E_F)**: 1.48 states/eV/f.u.
! **Space-group type**: No. 225
! **Polymorph energy (0 for the lowest one)**: 49.0 meV/atom



! ZnPd2Pb | Alexandria | PBE | relaxed; values from VASP
&SYSTEM
  ibrav = 0, nat = 4, ntyp = 3
/
ATOMIC_SPECIES
Zn 65.41 Zn.upf
Pd 106.42 Pd.upf
Pb 207.20 Pb.upf
CELL_PARAMETERS angstrom
4.217 0.000 0.000
2.109 3.652 0.000
2.109 1.217 4.947
ATOMIC_POSITIONS angstrom
Zn 6.326 3.652 4.776
Pd 2.109 1.217 4.052
Pd 2.109 1.217 0.929
Pb 4.217 2.435 2.612
! **D(E_F)**: 1.76 states/eV/f.u.
! **Space-group type**: No. 160
! **Polymorph energy (0 for the lowest one)**: 68.5 meV/atom



! ZnPd2Pb | Alexandria | PBE | relaxed; values from VASP
&SYSTEM
  ibrav = 0, nat = 4, ntyp = 3
/
ATOMIC_SPECIES
Pb 207.20 Pb.upf
Zn 65.41 Zn.upf
Pd 106.42 Pd.upf
CELL_PARAMETERS angstrom
3.613 0.000 0.000
0.000 4.422 0.000
0.000 0.000 4.422
ATOMIC_POSITIONS angstrom
Pb 1.806 2.211 2.211
Zn 1.806 0.000 0.000
Pd 0.000 0.000 2.211
Pd 0.000 2.211 0.000
! **D(E_F)**: 2.14 states/eV/f.u.
! **Space-group type**: No. 123
! **Polymorph energy (0 for the lowest one)**: 85.6 meV/atom



! ZnPdPb2 | Alexandria | PBE | relaxed; values from VASP
&SYSTEM
  ibrav = 0, nat = 8, ntyp = 3
/
ATOMIC_SPECIES
Pb 207.20 Pb.upf
Zn 65.41 Zn.upf
Pd 106.42 Pd.upf
CELL_PARAMETERS angstrom
-2.658 -3.611 -1.059
-0.089 -1.236 4.437
-8.947 2.771 2.984
ATOMIC_POSITIONS angstrom
Pb -3.926 -1.742 0.632
Pb -2.607 -0.507 3.394
Pb -7.740 0.269 3.476
Pb -9.114 -2.171 5.223
Zn -1.373 -2.423 1.689
Zn -5.205 -0.444 4.555
Pd 0.000 0.000 0.000
Pd -6.489 -1.632 1.807
! **D(E_F)**: 1.81 states/eV/f.u.
! **Space-group type**: No. 122
! **Polymorph energy (0 for the lowest one)**: 160.6 meV/atom



! ZnPdPb2 | Alexandria | PBE | relaxed; values from VASP
&SYSTEM
  ibrav = 0, nat = 4, ntyp = 3
/
ATOMIC_SPECIES
Pb 207.20 Pb.upf
Zn 65.41 Zn.upf
Pd 106.42 Pd.upf
CELL_PARAMETERS angstrom
-3.264 -0.477 0.374
-1.307 -0.222 3.044
-2.990 9.892 1.248
ATOMIC_POSITIONS angstrom
Pb -2.604 7.228 1.219
Pb -4.957 1.966 3.446
Zn -3.781 4.597 2.333
Pd 0.000 0.000 0.000
! **D(E_F)**: 1.75 states/eV/f.u.
! **Space-group type**: No. 166
! **Polymorph energy (0 for the lowest one)**: 271.8 meV/atom



! ZnPd2Pb | Alexandria | PBE | relaxed; values from VASP
&SYSTEM
  ibrav = 0, nat = 4, ntyp = 3
/
ATOMIC_SPECIES
Pb 207.20 Pb.upf
Zn 65.41 Zn.upf
Pd 106.42 Pd.upf
CELL_PARAMETERS angstrom
-2.592 -1.876 -0.117
0.884 -1.392 2.745
-3.584 4.731 3.553
ATOMIC_POSITIONS angstrom
Pb -2.646 0.731 3.091
Zn -0.854 -1.634 1.314
Pd -2.840 3.749 2.816
Pd -0.743 0.981 0.737
! **D(E_F)**: 1.17 states/eV/f.u.
! **Space-group type**: No. 123
! **Polymorph energy (0 for the lowest one)**: 0.0 meV/atom



! ZnPd9Pb2 | Alexandria | PBE | relaxed; values from VASP
&SYSTEM
  ibrav = 0, nat = 12, ntyp = 3
/
ATOMIC_SPECIES
Zn 65.41 Zn.upf
Pd 106.42 Pd.upf
Pb 207.20 Pb.upf
CELL_PARAMETERS angstrom
4.063 0.000 0.000
0.000 4.063 0.000
0.000 0.000 12.028
ATOMIC_POSITIONS angstrom
Zn 0.000 0.000 0.000
Pd 2.031 2.031 0.000
Pd 2.031 2.031 3.954
Pd 2.031 2.031 8.073
Pd 2.031 0.000 1.853
Pd 2.031 0.000 6.014
Pd 2.031 0.000 10.175
Pd 0.000 2.031 1.853
Pd 0.000 2.031 6.014
Pd 0.000 2.031 10.175
Pb 0.000 0.000 3.914
Pb 0.000 0.000 8.114
! **D(E_F)**: 10.15 states/eV/f.u.
! **Space-group type**: No. 123



! Zn2Pd2Pb | Alexandria | PBE | relaxed; values from VASP
&SYSTEM
  ibrav = 0, nat = 5, ntyp = 3
/
ATOMIC_SPECIES
Pb 207.20 Pb.upf
Zn 65.41 Zn.upf
Pd 106.42 Pd.upf
CELL_PARAMETERS angstrom
3.716 0.000 0.000
0.000 3.716 0.000
1.858 1.858 6.590
ATOMIC_POSITIONS angstrom
Pb 0.000 0.000 0.000
Zn 3.716 1.858 3.295
Zn 1.858 3.716 3.295
Pd 1.858 1.858 1.429
Pd 3.716 3.716 5.161
! **D(E_F)**: 2.39 states/eV/f.u.
! **Space-group type**: No. 139



! ZnPd2Pb | Alexandria | PBE | relaxed; values from VASP
&SYSTEM
  ibrav = 0, nat = 8, ntyp = 3
/
ATOMIC_SPECIES
Pb 207.20 Pb.upf
Zn 65.41 Zn.upf
Pd 106.42 Pd.upf
CELL_PARAMETERS angstrom
-4.031 -0.412 -0.851
0.798 -3.481 -2.095
-2.734 -6.801 6.167
ATOMIC_POSITIONS angstrom
Pb 0.000 0.000 0.000
Pb -4.191 -4.580 1.921
Zn -1.617 -1.947 -1.473
Zn -1.776 -6.114 1.299
Pd -3.010 -2.383 0.768
Pd -0.782 -3.937 0.106
Pd -3.245 -6.642 3.472
Pd -4.898 -8.426 2.096
! **D(E_F)**: 2.24 states/eV/f.u.
! **Space-group type**: No. 122
! **Polymorph energy (0 for the lowest one)**: 284.3 meV/atom



! ZnPd6Pb | Alexandria | PBE | relaxed; values from VASP
&SYSTEM
  ibrav = 0, nat = 8, ntyp = 3
/
ATOMIC_SPECIES
Zn 65.41 Zn.upf
Pd 106.42 Pd.upf
Pb 207.20 Pb.upf
CELL_PARAMETERS angstrom
-2.522 2.209 -2.263
1.047 -2.149 -3.264
-5.830 -5.119 1.501
ATOMIC_POSITIONS angstrom
Zn -2.915 -2.560 0.750
Pd -0.738 0.030 -2.764
Pd -3.653 -2.529 -2.014
Pd -2.805 -0.251 -0.734
Pd -5.548 -2.659 -0.028
Pd -1.020 -2.430 -1.235
Pd -3.764 -4.839 -0.529
Pb 0.000 0.000 0.000
! **D(E_F)**: 8.94 states/eV/f.u.
! **Space-group type**: No. 123



! ZnPd6Pb2 | Alexandria | PBE | relaxed; values from VASP
&SYSTEM
  ibrav = 0, nat = 9, ntyp = 3
/
ATOMIC_SPECIES
Zn 65.41 Zn.upf
Pd 106.42 Pd.upf
Pb 207.20 Pb.upf
CELL_PARAMETERS angstrom
-0.755 3.068 -0.395
-7.221 -1.564 1.650
5.250 0.442 6.024
ATOMIC_POSITIONS angstrom
Zn 0.000 0.000 0.000
Pd -0.944 0.101 2.514
Pd 2.716 2.818 3.737
Pd -1.782 1.844 4.765
Pd -2.322 1.113 0.247
Pd -5.442 -0.873 3.542
Pd -5.654 0.391 1.008
Pb -3.589 1.134 2.736
Pb 0.863 0.812 4.543
! **D(E_F)**: 3.28 states/eV/f.u.
! **Space-group type**: No. 12



! ZnPd5Pb | Alexandria | PBE | relaxed; values from VASP
&SYSTEM
  ibrav = 0, nat = 14, ntyp = 3
/
ATOMIC_SPECIES
Zn 65.41 Zn.upf
Pd 106.42 Pd.upf
Pb 207.20 Pb.upf
CELL_PARAMETERS angstrom
6.507 -0.198 2.360
1.877 6.234 2.360
5.251 3.781 8.908
ATOMIC_POSITIONS angstrom
Zn 0.000 0.000 0.000
Zn 2.626 1.890 4.454
Pd 6.928 7.308 7.007
Pd 4.506 5.565 6.622
Pd 11.754 6.142 11.461
Pd 7.820 0.747 4.587
Pd 9.554 9.199 11.460
Pd 4.082 0.617 2.168
Pd 5.815 9.069 9.041
Pd 1.881 3.675 2.168
Pd 9.129 4.251 7.006
Pd 6.707 2.508 6.622
Pb 5.505 3.963 4.587
Pb 8.130 5.853 9.041
! **D(E_F)**: 4.10 states/eV/f.u.
! **Space-group type**: No. 12



! Zn2Pd12Pb5 | Alexandria | PBE | relaxed; values from VASP
&SYSTEM
  ibrav = 0, nat = 19, ntyp = 3
/
ATOMIC_SPECIES
Zn 65.41 Zn.upf
Pd 106.42 Pd.upf
Pb 207.20 Pb.upf
CELL_PARAMETERS angstrom
-3.933 0.986 6.187
-3.827 -6.461 -5.825
6.150 -0.623 4.009
ATOMIC_POSITIONS angstrom
Zn -2.682 0.673 4.219
Zn -1.251 0.314 1.968
Pd 0.648 -0.984 0.569
Pd -2.909 -4.886 -3.874
Pd -5.403 -4.261 0.049
Pd -0.483 -4.360 -2.258
Pd -2.837 -3.770 1.444
Pd -1.439 -6.028 0.047
Pd -0.171 -0.070 4.325
Pd -1.127 -1.738 6.630
Pd 1.227 -2.329 2.927
Pd 1.299 -1.212 8.246
Pd 3.793 -1.838 4.322
Pd -2.258 -5.114 3.802
Pb -0.035 -3.626 0.556
Pb -3.045 -3.856 -1.321
Pb 3.075 -0.312 2.004
Pb 1.436 -2.242 5.692
Pb -1.575 -2.472 3.815
! **D(E_F)**: 9.35 states/eV/f.u.
! **Space-group type**: No. 12



! ZnPdPb2 | Alexandria | PBE | relaxed; values from VASP
&SYSTEM
  ibrav = 0, nat = 4, ntyp = 3
/
ATOMIC_SPECIES
Pb 207.20 Pb.upf
Zn 65.41 Zn.upf
Pd 106.42 Pd.upf
CELL_PARAMETERS angstrom
0.000 3.554 3.554
3.554 0.000 3.554
3.554 3.554 0.000
ATOMIC_POSITIONS angstrom
Pb 1.777 1.777 1.777
Pb 5.331 5.331 5.331
Zn 0.000 0.000 0.000
Pd 3.554 3.554 3.554
! **D(E_F)**: 0.96 states/eV/f.u.
! **Space-group type**: No. 225
! **Polymorph energy (0 for the lowest one)**: 0.0 meV/atom



! ZnPd4Pb | Alexandria | PBE | relaxed; values from VASP
&SYSTEM
  ibrav = 0, nat = 12, ntyp = 3
/
ATOMIC_SPECIES
Zn 65.41 Zn.upf
Pd 106.42 Pd.upf
Pb 207.20 Pb.upf
CELL_PARAMETERS angstrom
-2.467 -1.695 3.886
-6.004 -3.339 -5.269
1.768 -4.448 0.804
ATOMIC_POSITIONS angstrom
Zn -0.350 -3.072 2.345
Zn -2.118 -3.893 -2.232
Pd -6.433 -3.908 0.399
Pd -0.438 -5.830 1.899
Pd -2.352 -4.180 0.597
Pd -6.577 -6.702 -0.104
Pd -0.270 -5.574 -0.978
Pd -6.264 -3.652 -2.478
Pd -4.351 -5.302 -1.176
Pd -0.126 -2.780 -0.476
Pb 0.000 0.000 0.000
Pb -4.236 -2.517 -0.692
! **D(E_F)**: 1.99 states/eV/f.u.
! **Space-group type**: No. 14



! Zn6Pd12Pb | Alexandria | PBE | relaxed; values from VASP
&SYSTEM
  ibrav = 0, nat = 19, ntyp = 3
/
ATOMIC_SPECIES
Zn 65.41 Zn.upf
Pd 106.42 Pd.upf
Pb 207.20 Pb.upf
CELL_PARAMETERS angstrom
-3.838 1.455 -5.866
4.931 -4.795 -1.986
-4.419 -3.424 4.473
ATOMIC_POSITIONS angstrom
Zn -1.492 -4.683 -4.167
Zn -1.660 -0.638 -2.270
Zn 0.933 -2.488 -1.120
Zn -1.835 -2.081 0.789
Zn -1.667 -6.125 -1.108
Zn -4.259 -4.275 -2.259
Pd -2.858 -2.556 -3.599
Pd 0.227 -4.757 -2.230
Pd -3.066 -4.272 0.042
Pd -0.468 -4.208 0.220
Pd -3.554 -2.006 -1.149
Pd -0.260 -2.492 -3.420
Pd -1.380 -2.977 -6.142
Pd 2.610 -3.142 -3.012
Pd -3.992 0.163 -3.131
Pd -1.946 -3.787 2.763
Pd -5.936 -3.621 -0.367
Pd 0.665 -6.927 -0.248
Pb 0.000 0.000 0.000
! **D(E_F)**: 8.92 states/eV/f.u.
! **Space-group type**: No. 166



! Zn2Pd8Pb | Alexandria | PBE | relaxed; values from VASP
&SYSTEM
  ibrav = 0, nat = 11, ntyp = 3
/
ATOMIC_SPECIES
Zn 65.41 Zn.upf
Pd 106.42 Pd.upf
Pb 207.20 Pb.upf
CELL_PARAMETERS angstrom
4.108 0.000 0.000
0.000 6.286 0.290
-2.054 -2.351 6.627
ATOMIC_POSITIONS angstrom
Zn 2.054 0.882 3.791
Zn 0.000 3.053 3.126
Pd 0.000 1.451 5.440
Pd 2.054 4.953 2.682
Pd 2.054 3.295 4.848
Pd 2.054 -0.416 6.123
Pd 0.000 0.640 2.069
Pd 0.000 -1.018 4.235
Pd 2.054 2.484 1.477
Pd 0.000 4.352 0.794
Pb 2.054 0.000 0.000
! **D(E_F)**: 5.46 states/eV/f.u.
! **Space-group type**: No. 12



! ZnPd8Pb2 | Alexandria | PBE | relaxed; values from VASP
&SYSTEM
  ibrav = 0, nat = 11, ntyp = 3
/
ATOMIC_SPECIES
Zn 65.41 Zn.upf
Pd 106.42 Pd.upf
Pb 207.20 Pb.upf
CELL_PARAMETERS angstrom
4.088 0.000 0.000
0.000 7.687 -0.297
-2.044 -3.608 6.241
ATOMIC_POSITIONS angstrom
Zn 2.044 0.000 0.000
Pd 0.000 2.111 4.044
Pd 2.044 5.872 1.750
Pd 2.044 4.000 3.886
Pd 2.044 -1.815 6.172
Pd 0.000 0.080 2.058
Pd 0.000 -1.792 4.195
Pd 2.044 1.968 1.900
Pd 0.000 5.895 -0.228
Pb 2.044 0.163 4.202
Pb 0.000 3.917 1.742
! **D(E_F)**: 5.38 states/eV/f.u.
! **Space-group type**: No. 71



no.,E_form (eV/atom)
1,-0.505
2,-0.073
3,-0.109
4,-0.174
5,-0.131
6,-0.269
7,-0.249
8,-0.232
9,0.150
10,0.261
11,-0.318
12,-0.280
13,-0.268
14,-0.034
15,-0.280
16,-0.179
17,-0.220
18,-0.193
19,-0.011
20,-0.268
21,-0.194
22,-0.318
23,-0.265